{"formula": "Dy6CdSe4", "functional": "PBE", "state": "relaxed", "magnetic_moment_mub_per_atom": 0.000, "n_ef_per_ev_fu": 6.26, "total_energy_ev_per_atom": -5.197, "rho_g_cm3": 8.2, "cell": [[4.069, 0.000, 0.000], [-2.035, 6.718, 0.000], [0.000, 0.000, 20.763]], "species": ["Dy", "Dy", "Dy", "Dy", "Dy", "Dy", "Dy", "Dy", "Dy", "Dy", "Dy", "Dy", "Cd", "Cd", "Se", "Se", "Se", "Se", "Se", "Se", "Se", "Se"], "fractional_positions": [[0.500, 0.000, 0.000], [0.500, 0.000, 0.500], [0.045, 0.091, 0.337], [0.955, 0.909, 0.663], [0.955, 0.909, 0.837], [0.045, 0.091, 0.163], [0.771, 0.542, 0.412], [0.229, 0.458, 0.588], [0.229, 0.458, 0.912], [0.771, 0.542, 0.088], [0.339, 0.677, 0.250], [0.661, 0.323, 0.750], [0.664, 0.329, 0.250], [0.336, 0.671, 0.750], [0.861, 0.722, 0.539], [0.410, 0.820, 0.123], [0.139, 0.278, 0.461], [0.590, 0.180, 0.877], [0.861, 0.722, 0.961], [0.139, 0.278, 0.039], [0.590, 0.180, 0.623], [0.410, 0.820, 0.377]]}